Entry from Alexandria via LeMat-Bulk: a geometry-optimized CaNd5Y3 structure (PBE).

extended XYZ file:
```
18
Lattice="8.072 -3.462 0.000 8.072 3.462 0.000 -3.516 0.000 11.377" Properties=species:S:1:pos:R:3 pbc="T T T"
Ca 5.435 1.928 8.532
Ca 7.193 -1.928 2.844
Nd -0.192 0.854 9.935
Nd 1.566 -0.854 4.246
Nd 7.193 1.277 2.844
Nd 4.712 0.026 5.210
Nd 2.954 -0.026 10.898
Nd 9.674 0.026 0.478
Nd 7.916 -0.026 6.167
Nd 5.435 -1.277 8.532
Nd 11.062 0.854 7.130
Nd 12.819 -0.854 1.442
Y 0.000 0.000 0.000
Y -1.758 0.000 5.688
Y 1.900 0.793 7.249
Y 3.658 -0.793 1.561
Y 8.970 0.793 9.816
Y 10.728 -0.793 4.127
```

Results
The calculation puts the formation enthalpy at 0 K at 0.1784 eV per atom. The symmetry is C2/c (15). Its size of the total moment is 0.00 μB per cell.

***

Entry from Alexandria via LeMat-Bulk: a geometry-optimized BaLa3Ir structure (PBE).

extended XYZ file:
```
10
Lattice="6.960 0.000 0.000 0.000 4.206 0.000 -2.591 0.000 13.305" Properties=species:S:1:pos:R:3 pbc="T T T"
Ba 0.000 0.000 0.000
Ba 1.119 2.103 3.452
La -0.910 2.103 10.001
La 0.086 0.000 6.622
La 3.569 2.103 0.029
La 2.338 0.000 9.772
La 3.707 2.103 6.530
La 4.558 0.000 3.536
Ir 0.119 0.000 11.684
Ir 1.308 2.103 8.062
```

Results
The calculation puts the formation enthalpy at 0 K at -0.2957 eV per atom. The symmetry is Pm (6). The excess energy over the best structure of this formula in the dataset is 0.023 eV per atom. Its size of the total moment is 0.00 μB per cell.

***

Entry from Alexandria via LeMat-Bulk: a geometry-optimized ErPaCo structure (PBE).

extended XYZ file:
```
6
Lattice="1.928 1.113 11.184 -1.928 1.113 11.184 0.000 -2.226 11.184" Properties=species:S:1:pos:R:3 pbc="T T T"
Er 0.000 0.000 3.941
Er 0.000 0.000 29.613
Pa 0.000 0.000 10.112
Pa 0.000 0.000 23.441
Co 0.000 0.000 13.511
Co 0.000 0.000 20.042
```

Results
The calculation puts the formation enthalpy at 0 K at -0.1029 eV per atom. The symmetry is R-3m (166). The excess energy over the best structure of this formula in the dataset is 0.039 eV per atom. Its size of the total moment is 0.00 μB per cell.

***

Entry from Alexandria via LeMat-Bulk: a geometry-optimized Pu2Cr2WC4 structure (PBE).

extended XYZ file:
```
9
Lattice="6.716 -1.512 0.000 6.716 1.512 0.000 -1.251 0.000 5.424" Properties=species:S:1:pos:R:3 pbc="T T T"
Pu 1.657 0.000 0.169
Pu 10.523 0.000 5.255
Cr 3.739 0.000 2.555
Cr 8.441 0.000 2.869
W -0.626 0.000 2.712
C 2.306 0.000 3.963
C 5.249 0.000 3.980
C 6.931 0.000 1.444
C 9.874 0.000 1.461
```

Results
The calculation puts the formation enthalpy at 0 K at -0.0136 eV per atom. The symmetry is C2/m (12). Its size of the total moment is 8.43 μB per cell.